Compound: BaNiOF2
Source: Alexandria
Functional: PBE with a Hubbard U
Structure: relaxed

Calculated values
* calculated volume: 13.992 A^3/atom
* energy above the most stable polymorph in this dataset: 0 meV per atom
* space-group type: P4/mmm (123)

a = 4.1404 Å, b = 4.1404 Å, c = 4.0811 Å
α = 90.00°, β = 90.00°, γ = 90.00°
With the nearest neighbours (Å) after each atom.
Positions (direct):
Ni: 0.0000 0.0000 0.0000  2 O 2.04, 4 F 2.07
Ba: 0.5000 0.5000 0.5000  8 F 2.91, 4 O 2.93
O: 0.0000 0.0000 0.5000  2 Ni 2.04
F: 0.0000 0.5000 0.0000  2 Ni 2.07
F: 0.5000 0.0000 0.0000  2 Ni 2.07